Entry 1:
A relaxed structure of MgRe3, computed with PBE.

```
data_MgRe3
_chemical_formula_sum 'Mg3 Re9'
_cell_length_a 8.8558
_cell_length_b 8.8558
_cell_length_c 2.6922
_cell_angle_alpha 90.00
_cell_angle_beta 90.00
_cell_angle_gamma 120.00
_symmetry_space_group_name_H-M 'R -3 m'
_symmetry_Int_Tables_number 166
_symmetry_space_group_name_Hall '-R 3 2"'
loop_
_atom_site_label
_atom_site_type_symbol
_atom_site_fract_x
_atom_site_fract_y
_atom_site_fract_z
_atom_site_occupancy
Mg1 Mg 0.0000 0.0000 0.0000 1
Re1 Re 0.0000 0.5000 0.0000 1
```

Computed properties:
Spin magnetization ... 0.0 μB/cell
E above lowest polymorph ... 0.418 eV/f.u.
Energy relative to the elements ... 0.28 eV/atom

***

Entry 2:
A relaxed structure of HoSClO4, computed with PBE.

```
data_HoSClO4
_chemical_formula_sum 'Ho4 S4 Cl4 O16'
_cell_length_a 9.6893
_cell_length_b 6.9155
_cell_length_c 6.3962
_cell_angle_alpha 90.00
_cell_angle_beta 103.94
_cell_angle_gamma 90.00
_symmetry_space_group_name_H-M 'C 1 2/m 1'
_symmetry_Int_Tables_number 12
_symmetry_space_group_name_Hall '-C 2y'
loop_
_atom_site_label
_atom_site_type_symbol
_atom_site_fract_x
_atom_site_fract_y
_atom_site_fract_z
_atom_site_occupancy
Ho1 Ho 0.2260 0.0000 0.1338 1
S1 S 0.1365 0.5000 0.2662 1
Cl1 Cl 0.0208 0.0000 0.7617 1
O1 O 0.0173 0.5000 0.7632 1
O2 O 0.1849 0.3303 0.1506 1
O3 O 0.2114 0.5000 0.4938 1
```

Computed properties:
Spin magnetization ... 0.0 μB/cell
Energy relative to the elements, uncorrected ... -207 kJ/mol of atoms

***

Calculated volume per entry: 15.237, 14.856 A^3/atom
Density per entry: 15882, 4734 kg/m³